A plane-wave DFT calculation with PBE was carried out for crystalline SmHoBePd at its relaxed geometry.

Results
space group = F-43m, No. 216
ΔH_f (0 K) = -0.318 eV/atom
total DFT energy (no corrections) = -4.872 eV/atom

abc: 4.959 4.959 4.959
angles: 60.00 60.00 60.00
Fractional positions:
Sm1 0.250 0.250 0.250
Ho1 0.750 0.750 0.750
Pd1 0.000 0.000 0.000
Be1 0.500 0.500 0.500


A plane-wave DFT calculation with PBE was carried out for crystalline HoTmBePd at its relaxed geometry.

Results
space group = F-43m, No. 216
ΔH_f (0 K) = -0.388 eV/atom
total DFT energy (no corrections) = -4.880 eV/atom

abc: 4.869 4.869 4.869
angles: 60.00 60.00 60.00
Fractional positions:
Pd1 0.000 0.000 0.000
Ho1 0.250 0.250 0.250
Tm1 0.750 0.750 0.750
Be1 0.500 0.500 0.500


A plane-wave DFT calculation with PBE was carried out for crystalline YHoBePd at its relaxed geometry.

Results
space group = F-43m, No. 216
ΔH_f (0 K) = -0.364 eV/atom
total DFT energy (no corrections) = -5.354 eV/atom

abc: 4.912 4.912 4.912
angles: 60.00 60.00 60.00
Fractional positions:
Pd1 0.000 0.000 0.000
Ho1 0.250 0.250 0.250
Be1 0.500 0.500 0.500
Y1 0.750 0.750 0.750


A plane-wave DFT calculation with PBE was carried out for crystalline Ho2BeZnPd6 at its relaxed geometry.

Results
space group = P-1, No. 2
ΔH_f (0 K) = -0.649 eV/atom
total DFT energy (no corrections) = -5.181 eV/atom

abc: 5.972 6.406 7.418
angles: 48.47 65.09 89.82
Fractional positions:
Pd1 0.384 0.218 0.959
Pd2 0.616 0.782 0.041
Pd3 0.812 0.332 0.032
Pd4 0.188 0.668 0.968
Pd5 0.174 0.186 0.492
Pd6 0.826 0.814 0.508
Ho1 0.672 0.255 0.508
Ho2 0.328 0.745 0.492
Be1 0.500 0.500 0.000
Zn1 0.000 0.000 0.000


A plane-wave DFT calculation with PBE was carried out for crystalline HoBe2ZnPd5 at its relaxed geometry.

Results
space group = P4/mmm, No. 123
ΔH_f (0 K) = -0.560 eV/atom
total DFT energy (no corrections) = -4.923 eV/atom

abc: 4.385 4.385 7.021
angles: 90.00 90.00 90.00
Fractional positions:
Pd1 0.500 0.500 0.500
Pd2 0.000 0.500 0.216
Pd3 0.500 0.000 0.784
Pd4 0.500 0.000 0.216
Pd5 0.000 0.500 0.784
Zn1 0.000 0.000 0.000
Be1 0.500 0.500 0.160
Be2 0.500 0.500 0.840
Ho1 0.000 0.000 0.500


A plane-wave DFT calculation with PBE was carried out for crystalline Ho2Be2ZnPd5 at its relaxed geometry.

Results
space group = P4/mbm, No. 127
ΔH_f (0 K) = -0.745 eV/atom
total DFT energy (no corrections) = -5.130 eV/atom

abc: 3.453 9.552 9.552
angles: 90.00 90.00 90.00
Fractional positions:
Be1 0.000 0.619 0.881
Be2 0.000 0.119 0.619
Be3 0.000 0.381 0.119
Be4 0.000 0.881 0.381
Pd1 0.500 0.568 0.713
Pd2 0.500 0.068 0.787
Pd3 0.500 0.713 0.432
Pd4 0.500 0.932 0.213
Pd5 0.500 0.000 0.500
Pd6 0.500 0.213 0.068
Pd7 0.500 0.287 0.568
Pd8 0.500 0.787 0.932
Pd9 0.500 0.500 0.000
Pd10 0.500 0.432 0.287
Zn1 0.000 0.000 0.000
Zn2 0.000 0.500 0.500
Ho1 0.000 0.822 0.678
Ho2 0.000 0.178 0.322
Ho3 0.000 0.322 0.822
Ho4 0.000 0.678 0.178


A plane-wave DFT calculation with PBE was carried out for crystalline HoBeZn2Pd4 at its relaxed geometry.

Results
space group = R-3m, No. 166
ΔH_f (0 K) = -0.618 eV/atom
total DFT energy (no corrections) = -4.571 eV/atom

abc: 4.383 4.383 7.930
angles: 73.96 73.96 60.00
Fractional positions:
Pd1 0.399 0.399 0.804
Pd2 0.601 0.601 0.196
Pd3 0.132 0.132 0.604
Pd4 0.868 0.868 0.396
Ho1 0.000 0.000 0.000
Be1 0.500 0.500 0.500
Zn1 0.248 0.248 0.257
Zn2 0.752 0.752 0.743


A plane-wave DFT calculation with PBE was carried out for crystalline Pm2HoBe at its relaxed geometry.

Results
space group = R-3m, No. 166
ΔH_f (0 K) = 0.681 eV/atom
total DFT energy (no corrections) = -3.771 eV/atom

abc: 3.466 3.466 11.763
angles: 81.53 81.53 60.00
Fractional positions:
Pm1 0.916 0.916 0.253
Pm2 0.084 0.084 0.747
Ho1 0.500 0.500 0.500
Be1 0.000 0.000 0.000